[1]
Here is an optimized crystal structure of GeRuF3 from the Alexandria database. Energies are from PBE-GGA.

a = 4.3568 Å, b = 4.3568 Å, c = 4.3568 Å
α = 90.00°, β = 90.00°, γ = 90.00°
Space group Pm-3m (No. 221)
Unique sites:
Ge1 0.0000 0.0000 0.0000 (multiplicity 1)
Ru1 0.5000 0.5000 0.5000 (multiplicity 1)
F1 0.0000 0.0000 0.5000 (multiplicity 3)

Formation energy without anion corrections in eV/atom: -0.70
Energy relative to the lowest polymorph listed for this composition in eV per atom: 0.000
Calculated density in Mg/m³: 4.63
E in eV/atom: -4.61
DOS at the Fermi energy in states/eV/f.u.: 0.132



[2]
Here is an optimized crystal structure of CuSi2Ni from the Alexandria database. Energies are from PBE-GGA.

a = 3.8136 Å, b = 3.8136 Å, c = 12.5434 Å
α = 90.00°, β = 90.00°, γ = 120.00°
Space group R3m (No. 160, hexagonal axes)
Unique sites:
Cu1 0.0000 0.0000 0.0000 (multiplicity 3)
Si1 0.0000 0.0000 0.2142 (multiplicity 3)
Si2 0.0000 0.0000 0.4164 (multiplicity 3)
Ni1 0.0000 0.0000 0.8051 (multiplicity 3)

Formation energy without anion corrections in eV/atom: -0.16
Calculated density in Mg/m³: 5.63
E in eV/atom: -5.34
DOS at the Fermi energy in states/eV/f.u.: 1.204



[3]
Here is an optimized crystal structure of ZrTlGe2 from the Alexandria database. Energies are from PBE-GGA.

a = 7.8480 Å, b = 7.8480 Å, c = 5.9561 Å
α = 90.00°, β = 90.00°, γ = 90.00°
Space group I-42d (No. 122)
Unique sites:
Zr1 0.0000 0.0000 0.0000 (multiplicity 4)
Tl1 0.0000 0.0000 0.5000 (multiplicity 4)
Ge1 0.2341 0.7500 0.1250 (multiplicity 8)

Energy relative to the elements in eV/atom: 0.17
Energy relative to the lowest polymorph listed for this composition in eV per atom: 0.000
Calculated density in Mg/m³: 7.98
E in eV/atom: -4.86
DOS at the Fermi energy in states/eV/f.u.: 3.995